(1)
# ZrTcW | Alexandria via LeMat-Bulk | GGA-PBE | relaxed
data_ZrTcW
_chemical_formula_sum 'Zr4 Tc4 W4'
_space_group_name_H-M_alt 'F -4 3 m'
_space_group_IT_number 216
_space_group_name_Hall 'F -4 2 3'
_cell_length_a 6.230
_cell_length_b 6.230
_cell_length_c 6.230
_cell_angle_alpha 90.00
_cell_angle_beta 90.00
_cell_angle_gamma 90.00
loop_
_atom_site_label
_atom_site_fract_x
_atom_site_fract_y
_atom_site_fract_z
Zr1 0.000 0.000 0.000
Tc1 0.250 0.250 0.750
W1 0.000 0.000 0.500
# Magnetization, μB/atom: 0.000
# Distance to the lowest polymorph of the same formula, meV/atom: 649
# Calculated formation energy, eV per atom: 0.41
# Density, g cm⁻³: 10.247

***

(2)
# Ho2Er2Tl3 | Alexandria via LeMat-Bulk | GGA-PBE | relaxed
data_Ho2Er2Tl3
_chemical_formula_sum 'Ho4 Er4 Tl6'
_space_group_name_H-M_alt 'C m m m'
_space_group_IT_number 65
_space_group_name_Hall '-C 2 2'
_cell_length_a 3.491
_cell_length_b 31.797
_cell_length_c 3.544
_cell_angle_alpha 90.00
_cell_angle_beta 90.00
_cell_angle_gamma 90.00
loop_
_atom_site_label
_atom_site_fract_x
_atom_site_fract_y
_atom_site_fract_z
Ho1 0.000 0.068 0.000
Er1 0.000 0.202 0.000
Tl1 0.000 0.364 0.500
Tl2 0.000 0.500 0.500
# Magnetization, μB/atom: 0.019
# Distance to the lowest polymorph of the same formula, meV/atom: 0
# Calculated formation energy, eV per atom: -0.20
# Density, g cm⁻³: 10.787

***

(3)
# Te4Se4I3 | Alexandria via LeMat-Bulk | GGA-PBE | relaxed
data_Te4Se4I3
_chemical_formula_sum 'Te4 Se4 I3'
_space_group_name_H-M_alt 'P -1'
_space_group_IT_number 2
_space_group_name_Hall '-P 1'
_cell_length_a 6.833
_cell_length_b 7.194
_cell_length_c 10.518
_cell_angle_alpha 80.46
_cell_angle_beta 89.20
_cell_angle_gamma 77.93
loop_
_atom_site_label
_atom_site_fract_x
_atom_site_fract_y
_atom_site_fract_z
Te1 0.200 0.363 0.282
Te2 0.290 0.595 0.507
Se1 0.285 0.463 0.755
Se2 0.353 0.655 0.198
I1 0.000 0.000 0.500
I2 0.205 0.193 0.058
# Magnetization, μB/atom: 0.000
# Formation energy (no corrections), meV per atom: 25
# Density, g cm⁻³: 4.020

***

Q: Which value of magnetization does entry 2 give?
A: 0.019 μB/atom